Entry 1:
DFT (PBE-GGA) results for TaBeCdTe2 after structural relaxation.

For the total energy, the calculation gives -18.74 eV for the cell shown. For the raw formation energy, the calculation gives 4.04 eV per formula unit.

The space group is P4/mmm (No. 123) and the conventional cell measures 4.978, 4.978 and 4.648 Å, with angles of 90.00, 90.00 and 90.00 degrees. Symmetry generates all atoms from Ta at (0.000, 0.000, 0.000), Be at (0.000, 0.000, 0.500), Cd at (0.500, 0.500, 0.000) and Te at (0.000, 0.500, 0.500).

Entry 2:
DFT (PBE-GGA) results for K2CaTc after structural relaxation.

For the total energy, the calculation gives -10.19 eV for the cell shown. For the energy above the lowest structure with this stoichiometry, the calculation gives 283 meV/atom. Its formation energy from the elements is 1093 meV/atom.

The space group is P4/mmm (No. 123) and the conventional cell measures 4.795, 4.795 and 6.344 Å, with angles of 90.00, 90.00 and 90.00 degrees. Symmetry generates all atoms from K at (0.000, 0.500, 0.000), Ca at (0.000, 0.000, 0.500) and Tc at (0.500, 0.500, 0.500).

Entry 3:
DFT (PBE-GGA) results for Mg2BeGeAu after structural relaxation.

For the total energy, the calculation gives -13.80 eV for the cell shown. Its formation energy from the elements is 203 meV/atom.

The space group is P4/mmm (No. 123) and the conventional cell measures 5.100, 5.100 and 4.086 Å, with angles of 90.00, 90.00 and 90.00 degrees. Symmetry generates all atoms from Mg at (0.000, 0.500, 0.000), Be at (0.000, 0.000, 0.500), Ge at (0.000, 0.000, 0.000) and Au at (0.500, 0.500, 0.500).